#A
PmCd6Ag2, optimized geometry, DFT GGA-PBE; calculated volume = 203.51 Å³ per cell; calculated density = 8.447 Mg/m³; DOS(E_F) = 4.489 states/eV/f.u.
1.0
-1.562 0.649 -2.661
4.560 -4.932 -5.595
-2.712 -8.045 -2.086
Cd Ag Pm
6 2 1
Cartesian
-1.060 -6.678 -4.591 Cd
1.085 -1.515 -2.831 Cd
1.746 -9.722 -8.740 Cd
1.346 -5.649 -5.752 Cd
-0.799 -10.812 -7.511 Cd
-1.461 -2.605 -1.603 Cd
0.435 -4.476 -3.069 Ag
-0.149 -7.851 -7.274 Ag
-1.562 0.649 -2.661 Pm

---

#B
PmCd6Ag2, optimized geometry, DFT GGA-PBE; calculated volume = 417.78 Å³ per cell; calculated density = 8.229 Mg/m³; DOS(E_F) = 3.687 states/eV/f.u.
1.0
4.857 0.000 0.000
0.000 8.874 3.577
0.000 -0.324 9.562
Ag Cd Pm
4 12 2
Cartesian
3.643 3.418 3.663 Ag
3.643 6.585 8.531 Ag
1.214 1.964 4.609 Ag
1.214 5.131 9.477 Ag
3.643 1.645 1.000 Cd
3.643 8.301 11.230 Cd
3.643 2.188 6.215 Cd
1.214 3.353 1.845 Cd
3.643 3.753 8.621 Cd
1.214 6.361 6.924 Cd
1.214 6.904 12.139 Cd
1.214 0.248 1.909 Cd
1.214 8.221 9.326 Cd
1.214 4.795 4.518 Cd
3.643 0.328 3.813 Cd
3.643 5.196 11.295 Cd
1.214 1.530 8.355 Pm
3.643 7.019 4.784 Pm

---

Each structure's energy above the most stable one, in eV/atom: #A 0.040; #B 0.000.

---

#A
Pm3Cd2Ag4, optimized geometry, DFT GGA-PBE; calculated volume = 213.80 Å³ per cell; calculated density = 8.476 Mg/m³; DOS(E_F) = 5.675 states/eV/f.u.
1.0
-0.755 -5.073 -0.267
2.369 2.032 4.085
-8.251 1.003 4.277
Pm Ag Cd
3 4 2
Cartesian
0.000 0.000 0.000 Pm
-3.043 -2.299 2.906 Pm
-3.594 0.262 5.189 Pm
-5.424 0.659 2.818 Ag
-0.342 -2.628 1.513 Ag
-6.296 0.591 6.582 Ag
-1.214 -2.696 5.277 Ag
-6.053 -1.934 4.474 Cd
-0.585 -0.103 3.621 Cd

---

#B
Pm3Cd2Ag4, optimized geometry, DFT GGA-PBE; calculated volume = 214.38 Å³ per cell; calculated density = 8.453 Mg/m³; DOS(E_F) = 5.709 states/eV/f.u.
1.0
-1.489 -4.103 -2.255
5.523 1.786 -1.544
-0.959 -4.139 8.162
Cd Ag Pm
2 4 3
Cartesian
2.921 -3.140 3.785 Cd
0.154 -3.315 0.577 Cd
1.730 -4.045 6.217 Ag
1.345 -2.410 -1.854 Ag
0.202 -1.665 2.895 Ag
2.873 -4.790 1.468 Ag
0.000 0.000 0.000 Pm
0.153 -4.931 3.519 Pm
2.922 -1.524 0.843 Pm

---

Each structure's energy above the most stable one, in eV/atom: #A 0.045; #B 0.000.